Below is AgTePdO after structural relaxation, with properties calculated at the PBE level.

Geometry as CIF:
```
data_AgTePdO
_cell_length_a 6.602
_cell_length_b 10.846
_cell_length_c 8.369
_cell_angle_alpha 90.00
_cell_angle_beta 90.00
_cell_angle_gamma 90.00
_symmetry_space_group_name_H-M 'P b c a'
_symmetry_Int_Tables_number 61
_symmetry_space_group_name_Hall '-P 2ac 2ab'
loop_
_atom_site_label
_atom_site_type_symbol
_atom_site_fract_x
_atom_site_fract_y
_atom_site_fract_z
_atom_site_occupancy
Ag1 Ag 0.215 0.101 0.020 1
Te1 Te 0.006 0.528 0.766 1
Pd1 Pd 0.008 0.722 0.244 1
O1 O 0.247 0.218 0.388 1
```

Total DFT energy (no corrections), eV per atom: -4.14

***

Below is AgTePdO after structural relaxation, with properties calculated at the PBE level.

Geometry as CIF:
```
data_AgTePdO
_cell_length_a 4.507
_cell_length_b 4.507
_cell_length_c 7.429
_cell_angle_alpha 90.00
_cell_angle_beta 90.00
_cell_angle_gamma 90.00
_symmetry_space_group_name_H-M 'P 4/n m m'
_symmetry_Int_Tables_number 129
loop_
_symmetry_equiv_pos_as_xyz
'x,y,z'
'-x,-y,-z'
'-y+1/2,x,z'
'y+1/2,-x,-z'
'-x+1/2,-y+1/2,z'
'x+1/2,y+1/2,-z'
'y,-x+1/2,z'
'-y,x+1/2,-z'
'x+1/2,-y,-z'
'-x+1/2,y,z'
'-y,-x,-z'
'y,x,z'
'-x,y+1/2,-z'
'x,-y+1/2,z'
'y+1/2,x+1/2,-z'
'-y+1/2,-x+1/2,z'
loop_
_atom_site_label
_atom_site_type_symbol
_atom_site_fract_x
_atom_site_fract_y
_atom_site_fract_z
_atom_site_occupancy
Ag1 Ag 0.250 0.250 0.240 1
Te1 Te 0.250 0.250 0.781 1
Pd1 Pd 0.250 0.750 0.000 1
O1 O 0.250 0.250 0.529 1
```

Total DFT energy (no corrections), eV per atom: -4.23

***

Below is AgTePdO after structural relaxation, with properties calculated at the PBE level.

Geometry as CIF:
```
data_AgTePdO
_cell_length_a 4.016
_cell_length_b 4.016
_cell_length_c 8.706
_cell_angle_alpha 90.00
_cell_angle_beta 90.00
_cell_angle_gamma 90.00
_symmetry_space_group_name_H-M 'P 4/n m m'
_symmetry_Int_Tables_number 129
loop_
_symmetry_equiv_pos_as_xyz
'x,y,z'
'-x,-y,-z'
'-y+1/2,x,z'
'y+1/2,-x,-z'
'-x+1/2,-y+1/2,z'
'x+1/2,y+1/2,-z'
'y,-x+1/2,z'
'-y,x+1/2,-z'
'x+1/2,-y,-z'
'-x+1/2,y,z'
'-y,-x,-z'
'y,x,z'
'-x,y+1/2,-z'
'x,-y+1/2,z'
'y+1/2,x+1/2,-z'
'-y+1/2,-x+1/2,z'
loop_
_atom_site_label
_atom_site_type_symbol
_atom_site_fract_x
_atom_site_fract_y
_atom_site_fract_z
_atom_site_occupancy
Ag1 Ag 0.250 0.750 0.000 1
Te1 Te 0.250 0.250 0.299 1
Pd1 Pd 0.250 0.250 0.757 1
O1 O 0.250 0.250 0.513 1
```

Total DFT energy (no corrections), eV per atom: -4.16

***

Below is AgTePdO after structural relaxation, with properties calculated at the PBE level.

Geometry as CIF:
```
data_AgTePdO
_cell_length_a 3.679
_cell_length_b 12.876
_cell_length_c 6.076
_cell_angle_alpha 90.00
_cell_angle_beta 90.00
_cell_angle_gamma 90.00
_symmetry_space_group_name_H-M 'C m c 21'
_symmetry_Int_Tables_number 36
_symmetry_space_group_name_Hall 'C 2c -2'
loop_
_atom_site_label
_atom_site_type_symbol
_atom_site_fract_x
_atom_site_fract_y
_atom_site_fract_z
_atom_site_occupancy
Ag1 Ag 0.000 0.215 0.000 1
Te1 Te 0.000 0.118 0.502 1
Pd1 Pd 0.000 0.500 0.252 1
O1 O 0.000 0.392 0.502 1
```

Total DFT energy (no corrections), eV per atom: -4.22

***

Below is AgTePdO after structural relaxation, with properties calculated at the PBE level.

Geometry as CIF:
```
data_AgTePdO
_cell_length_a 5.520
_cell_length_b 6.824
_cell_length_c 7.653
_cell_angle_alpha 90.00
_cell_angle_beta 90.00
_cell_angle_gamma 90.00
_symmetry_space_group_name_H-M 'P 21 21 21'
_symmetry_Int_Tables_number 19
_symmetry_space_group_name_Hall 'P 2ac 2ab'
loop_
_atom_site_label
_atom_site_type_symbol
_atom_site_fract_x
_atom_site_fract_y
_atom_site_fract_z
_atom_site_occupancy
Ag1 Ag 0.028 0.174 0.472 1
Te1 Te 0.069 0.711 0.673 1
Pd1 Pd 0.184 0.563 0.358 1
O1 O 0.211 0.061 0.214 1
```

Total DFT energy (no corrections), eV per atom: -4.25

***

Below is AgTePdO after structural relaxation, with properties calculated at the PBE level.

Geometry as CIF:
```
data_AgTePdO
_cell_length_a 6.477
_cell_length_b 6.817
_cell_length_c 13.232
_cell_angle_alpha 90.00
_cell_angle_beta 90.00
_cell_angle_gamma 90.00
_symmetry_space_group_name_H-M 'P b c a'
_symmetry_Int_Tables_number 61
_symmetry_space_group_name_Hall '-P 2ac 2ab'
loop_
_atom_site_label
_atom_site_type_symbol
_atom_site_fract_x
_atom_site_fract_y
_atom_site_fract_z
_atom_site_occupancy
Ag1 Ag 0.196 0.148 0.160 1
Te1 Te 0.168 0.533 0.904 1
Pd1 Pd 0.008 0.697 0.525 1
O1 O 0.137 0.614 0.763 1
```

Total DFT energy (no corrections), eV per atom: -4.25

***

Below is AgTePdO after structural relaxation, with properties calculated at the PBE level.

Geometry as CIF:
```
data_AgTePdO
_cell_length_a 3.602
_cell_length_b 14.715
_cell_length_c 5.751
_cell_angle_alpha 90.00
_cell_angle_beta 90.00
_cell_angle_gamma 90.00
_symmetry_space_group_name_H-M 'C m c 21'
_symmetry_Int_Tables_number 36
_symmetry_space_group_name_Hall 'C 2c -2'
loop_
_atom_site_label
_atom_site_type_symbol
_atom_site_fract_x
_atom_site_fract_y
_atom_site_fract_z
_atom_site_occupancy
Ag1 Ag 0.000 0.000 0.000 1
Te1 Te 0.000 0.317 0.249 1
Pd1 Pd 0.000 0.309 0.749 1
O1 O 0.000 0.103 0.249 1
```

Total DFT energy (no corrections), eV per atom: -4.23

***

Below is AgTePdO after structural relaxation, with properties calculated at the PBE level.

Geometry as CIF:
```
data_AgTePdO
_cell_length_a 6.339
_cell_length_b 7.735
_cell_length_c 5.719
_cell_angle_alpha 90.00
_cell_angle_beta 90.00
_cell_angle_gamma 90.00
_symmetry_space_group_name_H-M 'P c a 21'
_symmetry_Int_Tables_number 29
_symmetry_space_group_name_Hall 'P 2c -2ac'
loop_
_atom_site_label
_atom_site_type_symbol
_atom_site_fract_x
_atom_site_fract_y
_atom_site_fract_z
_atom_site_occupancy
Ag1 Ag 0.185 0.030 0.000 1
Te1 Te 0.016 0.351 0.212 1
Pd1 Pd 0.069 0.307 0.709 1
O1 O 0.248 0.796 0.740 1
```

Total DFT energy (no corrections), eV per atom: -4.21

***

For reference, polymorph energy (0 for the lowest one) by record: 112 25 90 34 2 0 26 39 meV per atom.